{
  "formula": "RbSrLiPb",
  "functional": "PBE-GGA",
  "state": "optimized geometry",
  "lattice": [[5.748, 0.000, 0.000], [2.874, 4.978, 0.000], [2.874, 1.659, 4.693]],
  "species": ["Sr", "Pb", "Rb", "Li"],
  "fractional_positions": [[0.750, 0.750, 0.750], [0.500, 0.500, 0.500], [0.000, 0.000, 0.000], [0.250, 0.250, 0.250]],
  "density_g_cm3": 4.79,
  "spacegroup": "No. 216",
  "dft_energy_ev_per_fu": -9.0,
  "magnetic_moment_mub_per_cell": 0.000,
  "dos_ef_per_ev_atom": 0.0360,
  "delta_e_f_ev_per_atom": -0.18
}